A relaxed structure of MnAgO2. Source: Alexandria, functional PBE with a Hubbard U.

Geometry as POSCAR:
```
MnAgO2
1.0
-0.6733 0.4626 -3.0216
1.5009 -2.5990 0.8889
-10.9255 -5.7792 1.5498
O Ag Mn
4 2 2
Cartesian
-9.9928 -5.8710 -0.2933
-6.2926 -3.9137 -0.8182
-0.1051 -2.0446 -0.2896
-3.8054 -4.0019 0.2353
-8.1427 -4.8924 -0.5558
-1.9552 -3.0233 -0.0271
0.0000 0.0000 0.0000
-5.4628 -2.8896 0.7749
```

Summary:
raw total energy	-6.0986	eV/atom
total magnetization	4.00	μB/f.u.
calculated volume	105.7	Å³ per cell
D(E_F)	3.149	states/eV/cell